Computed, not measured: crystalline Nd6Y12Tm at its relaxed geometry at the PBE level of DFT.

It has space group R-3m (No. 166, hexagonal axes), with a = 16.6774 Å, b = 16.6774 Å, c = 8.2944 Å, α = 90.00°, β = 90.00° and γ = 120.00°. The asymmetric unit holds Nd at (0.1029, 0.2058, 0.0728), Y at (0.0000, 0.3855, 0.0000), Y at (0.1069, 0.2138, 0.6282) and Tm at (0.0000, 0.0000, 0.5000).

Its total DFT energy (no corrections) is -5.4823 eV/atom. The value obtained for the formation energy is 341.3 meV/atom. The value obtained for the density of states at the Fermi level is 79.2 states/eV/cell. The value obtained for the theoretical density is 5.2 g cm⁻³.

Computed, not measured: crystalline SrIn3Si at its relaxed geometry at the PBE level of DFT.

It has space group Pm-3m (No. 221), with a = 6.041 Å, b = 6.041 Å, c = 6.041 Å, α = 90.00°, β = 90.00° and γ = 90.00°. The asymmetric unit holds Sr at (0.000, 0.000, 0.000), In at (0.000, 0.000, 0.500) and Si at (0.500, 0.500, 0.500).

Its total DFT energy (no corrections) is -1.9092 eV/atom. The value obtained for the density of states at the Fermi level is 5.1 states/eV/cell. The value obtained for the theoretical density is 3.5 g cm⁻³.

What did the second record say?
Computed, not measured: crystalline SrIn3Si at its relaxed geometry at the PBE level of DFT.

It has space group Pm-3m (No. 221), with a = 6.041 Å, b = 6.041 Å, c = 6.041 Å, α = 90.00°, β = 90.00° and γ = 90.00°. The asymmetric unit holds Sr at (0.000, 0.000, 0.000), In at (0.000, 0.000, 0.500) and Si at (0.500, 0.500, 0.500).

Its total DFT energy (no corrections) is -1.9092 eV/atom. The value obtained for the density of states at the Fermi level is 5.1 states/eV/cell. The value obtained for the theoretical density is 3.5 g cm⁻³.

> total DFT energy (no corrections) of number 1 (Nd6Y12Tm)?

-5.4823 eV/atom